Entry 1:
LaYGeAs2, optimized geometry, DFT PBEsol; M_tot = 0.00 μB per formula unit; E_form = 0.14 eV per atom; Fermi-level density of states = 5.282 states/eV/f.u.; crystal system = tetragonal
1.0
5.063 0.000 0.000
0.000 5.063 0.000
0.000 0.000 5.305
La Y Ge As
1 1 1 2
Direct
0.000 0.000 0.000
0.500 0.500 0.000
0.000 0.000 0.500
0.000 0.500 0.500
0.500 0.000 0.500

Entry 2:
K2LiP, optimized geometry, DFT PBEsol; M_tot = 0.00 μB per formula unit; E_form = -0.31 eV per atom; Fermi-level density of states = 0.710 states/eV/f.u.; crystal system = monoclinic
1.0
4.031 -2.326 0.000
4.031 2.326 0.000
-2.674 0.000 6.464
K Li P
2 1 1
Direct
0.000 0.000 0.000
0.183 0.183 0.552
0.426 0.426 0.279
0.759 0.759 0.278

Entry 3:
CoSbCl2, optimized geometry, DFT PBEsol; M_tot = 1.90 μB per formula unit; Fermi-level density of states = 4.324 states/eV/f.u.; E_tot = -15.99 eV per cell; crystal system = trigonal
1.0
1.632 0.942 8.896
-1.632 0.942 8.896
0.000 -1.885 8.896
Co Sb Cl
1 1 2
Direct
0.000 0.000 0.000
0.500 0.500 0.500
0.078 0.078 0.078
0.922 0.922 0.922

Entry 4:
SrMg2Cd, optimized geometry, DFT PBEsol; M_tot = 0.00 μB per formula unit; E_form = -0.09 eV per atom; Fermi-level density of states = 2.434 states/eV/f.u.; crystal system = monoclinic
1.0
3.532 0.000 0.000
0.000 4.821 0.000
-1.773 0.000 6.531
Sr Mg Cd
1 2 1
Direct
0.000 0.000 0.000
0.328 0.500 0.654
0.742 0.000 0.481
0.621 0.500 0.240

Entry 5:
Cu3PbBr, optimized geometry, DFT PBEsol; M_tot = 0.00 μB per formula unit; Fermi-level density of states = 7.225 states/eV/f.u.; E_tot = -14.06 eV per cell; crystal system = cubic
1.0
4.933 0.000 0.000
0.000 4.933 0.000
0.000 0.000 4.933
Cu Pb Br
3 1 1
Direct
0.000 0.000 0.500
0.000 0.500 0.000
0.500 0.000 0.000
0.000 0.000 0.000
0.500 0.500 0.500

Entry 6:
LaTaBe2, optimized geometry, DFT PBEsol; M_tot = 0.00 μB per formula unit; E_form = 0.45 eV per atom; Fermi-level density of states = 2.560 states/eV/f.u.; crystal system = orthorhombic
1.0
2.916 -3.839 0.000
2.916 3.839 0.000
0.000 0.000 2.898
La Ta Be
1 1 2
Direct
0.000 0.000 0.000
0.500 0.500 0.000
0.000 0.500 0.500
0.500 0.000 0.500

Entry 7:
AlIn2Sb, optimized geometry, DFT PBEsol; M_tot = 0.00 μB per formula unit; Fermi-level density of states = 2.105 states/eV/f.u.; E_tot = -14.01 eV per cell; crystal system = trigonal
1.0
1.624 0.938 10.377
-1.624 0.938 10.377
0.000 -1.876 10.377
Al In Sb
1 2 1
Direct
0.000 0.000 0.000
0.256 0.256 0.256
0.744 0.744 0.744
0.500 0.500 0.500

Entry 8:
Y5Co4Ge10, optimized geometry, DFT PBEsol; M_tot = 0.00 μB per formula unit; E_form = -0.75 eV per atom; Fermi-level density of states = 9.635 states/eV/f.u.; crystal system = tetragonal
1.0
12.589 0.000 0.000
0.000 12.589 0.000
0.000 0.000 4.138
Y Co Ge
10 8 20
Direct
0.000 0.000 0.000
0.110 0.390 0.500
0.178 0.678 0.500
0.322 0.178 0.500
0.390 0.890 0.500
0.500 0.500 0.000
0.610 0.110 0.500
0.678 0.822 0.500
0.822 0.322 0.500
0.890 0.610 0.500
0.026 0.755 0.000
0.245 0.026 0.000
0.255 0.526 0.000
0.474 0.255 0.000
0.526 0.745 0.000
0.745 0.474 0.000
0.755 0.974 0.000
0.974 0.245 0.000
0.003 0.834 0.500
0.070 0.570 0.000
0.154 0.198 0.000
0.166 0.003 0.500
0.198 0.846 0.000
0.302 0.346 0.000
0.334 0.503 0.500
0.346 0.698 0.000
0.430 0.070 0.000
0.497 0.334 0.500
0.503 0.666 0.500
0.570 0.930 0.000
0.654 0.302 0.000
0.666 0.497 0.500
0.698 0.654 0.000
0.802 0.154 0.000
0.834 0.997 0.500
0.846 0.802 0.000
0.930 0.430 0.000
0.997 0.166 0.500

Entry 9:
MgTaIr2, optimized geometry, DFT PBEsol; M_tot = 0.00 μB per formula unit; E_form = -0.57 eV per atom; Fermi-level density of states = 0.967 states/eV/f.u.; crystal system = tetragonal
1.0
-2.098 2.098 3.461
2.098 -2.098 3.461
2.098 2.098 -3.461
Mg Ta Ir
1 1 2
Direct
0.000 0.000 0.000
0.500 0.500 0.000
0.250 0.750 0.500
0.750 0.250 0.500

Entry 10:
Mg5Tl, optimized geometry, DFT PBEsol; M_tot = 0.00 μB per formula unit; E_form = -0.04 eV per atom; Fermi-level density of states = 2.834 states/eV/f.u.; crystal system = orthorhombic
1.0
2.242 -6.691 0.000
2.242 6.691 0.000
0.000 0.000 4.505
Mg Tl
5 1
Direct
0.000 0.000 0.000
0.166 0.834 0.500
0.332 0.668 0.000
0.668 0.332 0.000
0.834 0.166 0.500
0.500 0.500 0.500

Entry 11:
RuSeBr2Cl, optimized geometry, DFT PBEsol; M_tot = 0.00 μB per formula unit; Fermi-level density of states = 6.330 states/eV/f.u.; E_tot = -18.47 eV per cell; crystal system = tetragonal
1.0
5.009 0.000 0.000
0.000 5.009 0.000
0.000 0.000 4.632
Ru Se Br Cl
1 1 2 1
Direct
0.000 0.000 0.000
0.000 0.000 0.500
0.000 0.500 0.000
0.500 0.000 0.000
0.500 0.500 0.500

Entry 12:
Sc2Os, optimized geometry, DFT PBEsol; M_tot = 0.00 μB per formula unit; E_form = -0.30 eV per atom; Fermi-level density of states = 2.991 states/eV/f.u.; crystal system = cubic
1.0
0.000 6.064 6.064
6.064 0.000 6.064
6.064 6.064 0.000
Sc Os
16 8
Direct
0.000 0.000 0.000
0.000 0.000 0.500
0.000 0.500 0.000
0.183 0.183 0.567
0.183 0.567 0.183
0.183 0.567 0.567
0.433 0.433 0.817
0.433 0.817 0.433
0.433 0.817 0.817
0.500 0.000 0.000
0.567 0.183 0.183
0.567 0.183 0.567
0.567 0.567 0.183
0.817 0.433 0.433
0.817 0.433 0.817
0.817 0.817 0.433
0.135 0.788 0.788
0.212 0.212 0.212
0.212 0.212 0.865
0.212 0.865 0.212
0.788 0.135 0.788
0.788 0.788 0.135
0.788 0.788 0.788
0.865 0.212 0.212

Entry 13:
SrTaMo, optimized geometry, DFT PBEsol; M_tot = 0.00 μB per formula unit; E_form = 1.59 eV per atom; Fermi-level density of states = 3.276 states/eV/f.u.; crystal system = cubic
1.0
0.000 3.269 3.269
3.269 0.000 3.269
3.269 3.269 0.000
Sr Ta Mo
1 1 1
Direct
0.000 0.000 0.000
0.750 0.750 0.750
0.500 0.500 0.500